--- w ---
TeMoSe: optimized geometry, PBE.

Properties
The value obtained for the mass density is 6.75 g/cm³.

a = 3.391 Å, b = 3.391 Å, c = 7.471 Å
α = 90.00°, β = 90.00°, γ = 120.00°
Fractional coordinates of all 3 atoms:
Te (0.000, 0.000, 0.000)
Mo (0.667, 0.333, 0.263)
Se (0.333, 0.667, 0.482)

***

--- x ---
TeMoSe: optimized geometry, PBE.

Properties
The value obtained for the mass density is 6.88 g/cm³.

a = 7.561 Å, b = 6.834 Å, c = 5.912 Å
α = 90.00°, β = 107.00°, γ = 90.00°
Fractional coordinates of all 12 atoms:
Te (0.231, 0.121, 0.489)
Te (0.231, 0.379, 0.989)
Te (0.769, 0.621, 0.011)
Te (0.769, 0.879, 0.511)
Mo (0.498, 0.636, 0.223)
Mo (0.498, 0.864, 0.723)
Mo (0.502, 0.136, 0.277)
Mo (0.502, 0.364, 0.777)
Se (0.278, 0.615, 0.490)
Se (0.278, 0.885, 0.990)
Se (0.722, 0.115, 0.010)
Se (0.722, 0.385, 0.510)

***

--- y ---
TeMoSe: optimized geometry, PBE.

Properties
The value obtained for the mass density is 7.04 g/cm³.

a = 8.358 Å, b = 8.098 Å, c = 3.158 Å
α = 83.61°, β = 74.34°, γ = 22.06°
Fractional coordinates of all 3 atoms:
Te (0.000, 0.000, 0.000)
Mo (0.356, 0.356, 0.644)
Se (0.740, 0.740, 0.260)

***

--- z ---
TeMoSe: optimized geometry, PBE.

Properties
The value obtained for the mass density is 6.76 g/cm³.

a = 3.435 Å, b = 3.435 Å, c = 14.533 Å
α = 90.00°, β = 90.00°, γ = 120.00°
Fractional coordinates of all 6 atoms:
Te (0.000, 0.000, 0.000)
Te (0.000, 0.000, 0.256)
Mo (0.000, 0.000, 0.627)
Mo (0.333, 0.667, 0.128)
Se (0.333, 0.667, 0.515)
Se (0.333, 0.667, 0.740)

***

In terms of stability, z leads; the second structure lies 158 meV per atom higher.

***

--- w ---
TeMoSe: optimized geometry, PBE.

Properties
The value obtained for the mass density is 6.94 g/cm³.

a = 3.390 Å, b = 3.390 Å, c = 14.554 Å
α = 90.03°, β = 90.03°, γ = 60.02°
Fractional coordinates of all 6 atoms:
Te (0.000, 0.000, 0.000)
Te (0.658, 0.658, 0.268)
Mo (0.333, 0.333, 0.865)
Mo (0.991, 0.991, 0.403)
Se (0.325, 0.325, 0.516)
Se (0.666, 0.666, 0.753)

***

--- x ---
TeMoSe: optimized geometry, PBE.

Properties
The value obtained for the mass density is 7.38 g/cm³.

a = 7.050 Å, b = 7.050 Å, c = 7.050 Å
α = 153.83°, β = 153.83°, γ = 37.34°
Fractional coordinates of all 3 atoms:
Te (0.000, 0.000, 0.000)
Mo (0.632, 0.632, 0.000)
Se (0.242, 0.242, 0.000)

***

--- y ---
TeMoSe: optimized geometry, PBE.

Properties
The value obtained for the mass density is 6.76 g/cm³.

a = 3.435 Å, b = 3.435 Å, c = 29.081 Å
α = 90.00°, β = 90.00°, γ = 120.00°
Fractional coordinates of all 12 atoms:
Te (0.333, 0.667, 0.307)
Te (0.333, 0.667, 0.435)
Te (0.667, 0.333, 0.565)
Te (0.667, 0.333, 0.693)
Mo (0.333, 0.667, 0.122)
Mo (0.333, 0.667, 0.629)
Mo (0.667, 0.333, 0.371)
Mo (0.667, 0.333, 0.878)
Se (0.333, 0.667, 0.822)
Se (0.333, 0.667, 0.935)
Se (0.667, 0.333, 0.065)
Se (0.667, 0.333, 0.178)

***

--- z ---
TeMoSe: optimized geometry, PBE.

Properties
The value obtained for the mass density is 7.22 g/cm³.

a = 4.616 Å, b = 4.616 Å, c = 4.616 Å
α = 60.00°, β = 60.00°, γ = 60.00°
Fractional coordinates of all 3 atoms:
Te (0.000, 0.000, 0.000)
Mo (0.750, 0.750, 0.750)
Se (0.500, 0.500, 0.500)

***

In terms of stability, y leads; the second structure lies 173 meV per atom higher.